1.
# CuPd2, relaxed, DFT PBE-GGA
data_CuPd2
_chemical_formula_sum 'Cu4 Pd8'
_symmetry_space_group_name_H-M 'F m -3 m'
_symmetry_Int_Tables_number 225
_symmetry_space_group_name_Hall '-F 4 2 3'
_cell_length_a 5.7893
_cell_length_b 5.7893
_cell_length_c 5.7893
_cell_angle_alpha 90.00
_cell_angle_beta 90.00
_cell_angle_gamma 90.00
loop_
_atom_site_label
_atom_site_type_symbol
_atom_site_fract_x
_atom_site_fract_y
_atom_site_fract_z
_atom_site_occupancy
Cu1 Cu 0.0000 0.0000 0.0000 1
Pd1 Pd 0.2500 0.2500 0.2500 1
# Formation energy from the elements: 0.25 eV/atom
# Excess energy over the best structure of this formula in the dataset: 280 meV per atom
# VASP energy: -4.44 eV/atom


2.
# BaGdPb, relaxed, DFT PBE-GGA
data_BaGdPb
_chemical_formula_sum 'Ba4 Gd4 Pb4'
_symmetry_space_group_name_H-M 'F -4 3 m'
_symmetry_Int_Tables_number 216
_symmetry_space_group_name_Hall 'F -4 2 3'
_cell_length_a 7.9337
_cell_length_b 7.9337
_cell_length_c 7.9337
_cell_angle_alpha 90.00
_cell_angle_beta 90.00
_cell_angle_gamma 90.00
loop_
_atom_site_label
_atom_site_type_symbol
_atom_site_fract_x
_atom_site_fract_y
_atom_site_fract_z
_atom_site_occupancy
Ba1 Ba 0.0000 0.0000 0.0000 1
Gd1 Gd 0.0000 0.0000 0.5000 1
Pb1 Pb 0.2500 0.2500 0.2500 1
# Total magnetic moment: 2.61 μB/cell
# VASP energy: -3.60 eV/atom


- Number 2 is which compound?
  BaGdPb


- Among the records above, which one has the highest VASP energy?
  BaGdPb


- Look up the VASP energy of the second one.
  -3.60 eV/atom